(A)
# Tb2Pm8Er

A geometry-optimized Tb2Pm8Er structure (PBE, Alexandria via LeMat-Bulk).

Unit cell a=9.028 b=9.028 c=6.723 alpha=99.69 beta=99.69 gamma=44.16
Atoms (fractional coordinates):
1 Tb 0.197 0.197 0.305
2 Tb 0.803 0.803 0.695
3 Pm 0.175 0.651 0.097
4 Pm 0.244 0.244 0.817
5 Pm 0.349 0.825 0.903
6 Pm 0.407 0.407 0.587
7 Pm 0.593 0.593 0.413
8 Pm 0.651 0.175 0.097
9 Pm 0.756 0.756 0.183
10 Pm 0.825 0.349 0.903
11 Er 0.000 0.000 0.500

(B)
# Tb2Pm8Er

A geometry-optimized Tb2Pm8Er structure (PBE, Alexandria via LeMat-Bulk).

Unit cell a=6.731 b=6.731 c=9.324 alpha=103.56 beta=103.56 gamma=67.15
Atoms (fractional coordinates):
1 Tb 0.142 0.142 0.128
2 Tb 0.858 0.858 0.872
3 Pm 0.214 0.650 0.226
4 Pm 0.309 0.309 0.502
5 Pm 0.323 0.323 0.875
6 Pm 0.350 0.786 0.774
7 Pm 0.650 0.214 0.226
8 Pm 0.677 0.677 0.125
9 Pm 0.691 0.691 0.498
10 Pm 0.786 0.350 0.774
11 Er 0.000 0.000 0.500

Energy ordering: (B) at the bottom, the next structure 0.045 eV/atom above.